Record 1
## Tl3CO3 (GGA-PBE)

Data for a relaxed Tl3CO3 crystal.

```
Tl3CO3
1.0
-1.585 -5.296 -1.995
-0.417 -2.664 7.402
-5.915 2.795 -2.718
Tl O C
6 6 2
direct
0.250 0.165 0.832
0.750 0.840 0.666
0.250 0.160 0.334
0.750 0.391 0.199
0.750 0.835 0.168
0.250 0.609 0.801
0.250 0.793 0.554
0.250 0.513 0.257
0.750 0.210 0.767
0.750 0.487 0.743
0.250 0.790 0.233
0.750 0.207 0.446
0.750 0.304 0.653
0.250 0.696 0.347
```

Calculated values
V = 20.928 Å³ per atom
ρ = 7.63 g/cm3
E above lowest polymorph = 0.000 eV/atom
raw formation energy = -0.87 eV/atom



Record 2
## Tl3C2O6 (GGA-PBE)

Data for a relaxed Tl3C2O6 crystal.

```
Tl3C2O6
1.0
5.577 0.000 0.000
0.000 7.251 0.000
0.000 0.000 9.735
Tl O C
6 12 4
direct
0.500 0.500 0.500
0.000 0.000 0.000
0.000 0.500 0.813
0.500 0.000 0.313
0.500 0.000 0.687
0.000 0.500 0.187
0.638 0.249 0.115
0.638 0.249 0.885
0.796 0.194 0.500
0.138 0.251 0.615
0.862 0.749 0.385
0.362 0.751 0.115
0.862 0.749 0.615
0.704 0.694 0.000
0.296 0.306 0.000
0.138 0.251 0.385
0.204 0.806 0.500
0.362 0.751 0.885
0.976 0.770 0.500
0.476 0.730 0.000
0.524 0.270 0.000
0.024 0.230 0.500
```

Calculated values
V = 17.894 Å³ per atom
ρ = 6.19 g/cm3
raw formation energy = -1.08 eV/atom